The following is a DFT calculation (PBE) of a relaxed Tm4IrPt3 crystal.

E: -54.46 eV for the cell shown
space-group type: No. 47
size of the total moment: 0.007 μB per cell
calculated formation energy: -1.199 eV/atom

Cell lengths 3.358, 4.905, 9.807 Å; angles 90.00, 90.00, 90.00 degrees
Positions (direct):
Tm 0.000 0.000 0.000
Tm 0.000 0.000 0.500
Tm 0.000 0.500 0.245
Tm 0.000 0.500 0.755
Ir 0.500 0.500 0.000
Pt 0.500 0.000 0.249
Pt 0.500 0.000 0.751
Pt 0.500 0.500 0.500

The following is a DFT calculation (PBE) of a relaxed PdBrN3 crystal.

formation energy from raw total energies: 2.226 eV/atom
E: -20.71 eV for the cell shown
space-group type: No. 221
size of the total moment: 5.246 μB per cell

Cell lengths 4.114, 4.114, 4.114 Å; angles 90.00, 90.00, 90.00 degrees
Positions (direct):
Pd 0.000 0.000 0.000
Br 0.500 0.500 0.500
N 0.000 0.000 0.500
N 0.000 0.500 0.000
N 0.500 0.000 0.000

The following is a DFT calculation (PBE) of a relaxed Ba4Na2Ni crystal.

E: -15.80 eV for the cell shown
space-group type: No. 139
size of the total moment: 0.000 μB per cell
calculated formation energy: 0.045 eV/atom

Cell lengths 10.801, 10.801, 10.801 Å; angles 147.52, 147.52, 46.59 degrees
Positions (direct):
Ba 0.000 0.500 0.500
Ba 0.163 0.163 0.000
Ba 0.500 0.000 0.500
Ba 0.837 0.837 0.000
Na 0.364 0.364 0.000
Na 0.636 0.636 0.000
Ni 0.000 0.000 0.000

The following is a DFT calculation (PBE) of a relaxed BeGa2CuOs crystal.

E: -20.13 eV for the cell shown
space-group type: No. 123
size of the total moment: 0.000 μB per cell
calculated formation energy: 0.995 eV/atom

Cell lengths 4.746, 4.746, 4.766 Å; angles 90.00, 90.00, 90.00 degrees
Positions (direct):
Be 0.000 0.000 0.000
Ga 0.000 0.500 0.500
Ga 0.500 0.000 0.500
Cu 0.500 0.500 0.000
Os 0.500 0.500 0.500

The following is a DFT calculation (PBE) of a relaxed AcY4Cd5 crystal.

E: -37.85 eV for the cell shown
space-group type: No. 123
size of the total moment: 0.221 μB per cell
calculated formation energy: -0.331 eV/atom

Cell lengths 3.790, 3.790, 19.334 Å; angles 90.00, 90.00, 90.00 degrees
Positions (direct):
Ac 0.000 0.000 0.000
Y 0.000 0.000 0.212
Y 0.000 0.000 0.404
Y 0.000 0.000 0.596
Y 0.000 0.000 0.788
Cd 0.500 0.500 0.120
Cd 0.500 0.500 0.308
Cd 0.500 0.500 0.500
Cd 0.500 0.500 0.692
Cd 0.500 0.500 0.880

The following is a DFT calculation (PBE) of a relaxed LaPdRh2I crystal.

formation energy from raw total energies: 0.137 eV/atom
E: -25.69 eV for the cell shown
space-group type: No. 123
size of the total moment: 0.000 μB per cell

Cell lengths 4.921, 4.921, 4.959 Å; angles 90.00, 90.00, 90.00 degrees
Positions (direct):
La 0.000 0.000 0.000
Pd 0.500 0.500 0.000
Rh 0.000 0.500 0.500
Rh 0.500 0.000 0.500
I 0.500 0.500 0.500